First-principles (GGA-PBE) data for PaZn3Cu2 after structural relaxation, as listed in the Alexandria database.

Results
symmetry: No. 164
V: 99.8 Å³/f.u.
formation energy: -0.1 eV/f.u.
Fermi-level density of states: 6.62 states/eV/f.u.
magnetization: 0.00 μB/f.u.

Unit cell a=4.2647 b=4.2647 c=6.3359 alpha=90.00 beta=90.00 gamma=120.00
Sites, in units of the cell vectors:
Pa 0.0000 0.0000 0.0000
Zn 0.0000 0.0000 0.5000
Zn 0.3333 0.6667 0.6893
Zn 0.6667 0.3333 0.3107
Cu 0.3333 0.6667 0.2621
Cu 0.6667 0.3333 0.7379